{
  "formula": "UVNiIr",
  "functional": "GGA-PBE",
  "state": "relaxed",
  "lattice": [[0.000, 3.130, 3.130], [3.130, 0.000, 3.130], [3.130, 3.130, 0.000]],
  "species": ["U", "V", "Ni", "Ir"],
  "frac_coords": [[0.000, 0.000, 0.000], [0.750, 0.750, 0.750], [0.250, 0.250, 0.250], [0.500, 0.500, 0.500]],
  "e_form_mev_per_atom": -147,
  "total_energy_ry_per_atom": -0.655
}